Record 1
LaMg2Os after structural relaxation. Source: Alexandria, functional PBE-GGA.

```
LaMg2Os
1.0
10.605 -0.004 -0.002
10.166 3.020 -0.002
10.166 1.476 2.634
La Mg Os
1 2 1
Cartesian
23.202 3.369 1.972
30.448 4.421 2.588
15.956 2.317 1.356
7.734 1.123 0.657
```

Calculated total energy ... -17.94 eV/cell
ρ ... 7.420 g/cm3
Energy of formation ... 0.35 eV per atom
Spin magnetization ... 0.143 μB per atom

Record 2
YAu3Br after structural relaxation. Source: Alexandria, functional PBE-GGA.

```
YAu3Br
1.0
-0.140 5.025 2.317
-3.775 -1.781 3.635
4.046 -1.488 3.472
Y Au Br
1 3 1
Cartesian
0.000 0.000 0.000
-1.887 -0.891 1.818
2.023 -0.744 1.736
-0.070 2.512 1.158
0.065 0.878 4.712
```

Calculated total energy ... -15.81 eV/cell
ρ ... 7.440 g/cm3
Spin magnetization ... 0.001 μB per atom
Distance to the lowest polymorph of the same formula ... 0.0 meV/atom
E_form (uncorrected) ... 0.432 eV per atom

Record 3
MgSb2PPt after structural relaxation. Source: Alexandria, functional PBE-GGA.

```
MgSb2PPt
1.0
5.373 0.000 0.000
0.000 5.373 0.000
0.000 0.000 4.439
Sb Mg Pt P
2 1 1 1
Cartesian
0.000 2.686 0.000
2.686 0.000 0.000
2.686 2.686 2.220
0.000 0.000 2.220
0.000 0.000 0.000
```

Calculated total energy ... -19.73 eV/cell
ρ ... 6.400 g/cm3
Spin magnetization ... 0.000 μB per atom
E_form (uncorrected) ... 0.313 eV per atom

Record 4
NdY5Ho5 after structural relaxation. Source: Alexandria, functional PBE-GGA.

```
NdY5Ho5
1.0
-3.154 0.994 6.012
7.625 -2.421 2.320
7.595 4.432 3.538
Nd Y Ho
1 5 5
Cartesian
0.000 0.000 0.000
1.606 1.315 3.091
8.604 2.361 6.021
7.610 1.005 2.929
3.462 0.644 5.849
10.460 1.690 8.778
4.402 -0.505 2.587
4.536 2.928 3.585
-1.577 0.497 3.006
7.530 0.077 8.284
7.664 3.510 9.282
```

Calculated total energy ... -58.34 eV/cell
ρ ... 6.451 g/cm3
Energy of formation ... 0.15 eV per atom
Spin magnetization ... 0.000 μB per atom
Distance to the lowest polymorph of the same formula ... 0.0 meV/atom

Record 5
ErTlIn2 after structural relaxation. Source: Alexandria, functional PBE-GGA.

```
ErTlIn2
1.0
5.386 0.000 0.000
2.693 4.664 0.000
2.693 1.555 4.395
Tl In Er
1 2 1
Cartesian
5.386 3.110 2.198
8.079 4.664 3.296
2.693 1.555 1.099
0.000 0.000 0.000
```

Calculated total energy ... -12.71 eV/cell
ρ ... 9.043 g/cm3
Energy of formation ... -0.07 eV per atom
Spin magnetization ... 0.000 μB per atom
Distance to the lowest polymorph of the same formula ... 237.1 meV/atom

Record 6
Nb3ZnNi after structural relaxation. Source: Alexandria, functional PBE-GGA.

```
Nb3ZnNi
1.0
-2.857 -1.755 3.177
-0.117 -3.997 -2.313
3.628 -1.511 2.428
Ni Nb Zn
1 3 1
Cartesian
0.000 0.000 0.000
-0.058 -1.998 -1.157
1.814 -0.756 1.214
-1.429 -0.878 1.588
0.327 -3.632 1.646
```

Calculated total energy ... -33.18 eV/cell
ρ ... 6.787 g/cm3
Energy of formation ... 0.82 eV per atom
Spin magnetization ... 0.000 μB per atom
Distance to the lowest polymorph of the same formula ... 0.0 meV/atom

Record 7
Ac2LaPr4Sm after structural relaxation. Source: Alexandria, functional PBE-GGA.

```
Ac2LaPr4Sm
1.0
-7.930 3.545 4.927
-0.722 -8.414 5.331
5.987 3.665 1.674
Ac La Pr Sm
4 2 8 2
Cartesian
-3.965 1.773 2.463
-0.972 3.605 3.300
2.993 1.832 0.837
-4.326 -2.434 5.129
-0.361 -4.207 2.665
-5.298 1.171 8.429
3.529 -1.844 6.759
-3.095 2.297 6.015
0.429 -3.500 5.916
-6.194 0.641 5.172
-0.668 0.062 9.334
-3.462 -1.648 8.556
0.796 0.445 3.376
-1.997 -1.265 2.598
-1.333 -0.602 5.966
-1.943 7.210 6.601
```

Calculated total energy ... -68.38 eV/cell
ρ ... 7.010 g/cm3
Energy of formation ... 0.35 eV per atom
Spin magnetization ... 0.000 μB per atom

Record 8
Hf2VZn2 after structural relaxation. Source: Alexandria, functional PBE-GGA.

```
Hf2VZn2
1.0
7.752 0.000 0.000
0.000 7.752 0.000
0.000 0.000 3.041
Zn Hf V
4 4 2
Cartesian
0.930 4.806 1.521
4.806 6.822 1.521
6.822 2.946 1.521
2.946 0.930 1.521
2.500 6.376 0.000
6.376 5.253 0.000
5.253 1.377 0.000
1.377 2.500 0.000
0.000 0.000 0.000
3.876 3.876 0.000
```

Calculated total energy ... -59.64 eV/cell
ρ ... 9.789 g/cm3
Energy of formation ... 0.35 eV per atom
Spin magnetization ... 0.124 μB per atom
Distance to the lowest polymorph of the same formula ... 335.0 meV/atom